No. 1
The following is a GGA-PBEsol calculation of a geometry-optimized Al2TlIn structure, from Alexandria via LeMat-Bulk.

Results
* energy: -3.224 eV/atom
* symmetry: Pmmm

a = 3.1421 Å, b = 4.1121 Å, c = 6.8519 Å
α = 90.00°, β = 90.00°, γ = 90.00°
Fractional positions:
Tl 0.5000 0.5000 0.5000
Al 0.0000 0.0000 0.7721
Al 0.0000 0.0000 0.2279
In 0.5000 0.5000 0.0000



No. 2
The following is a GGA-PBEsol calculation of a geometry-optimized AlTl2In structure, from Alexandria via LeMat-Bulk.

Results
* energy: -2.925 eV/atom
* offset from the most stable computed form: 46.6 meV per atom
* symmetry: P4/mmm

a = 3.5952 Å, b = 3.5952 Å, c = 7.7191 Å
α = 90.00°, β = 90.00°, γ = 90.00°
Fractional positions:
Tl 0.0000 0.0000 0.7703
Tl 0.0000 0.0000 0.2297
Al 0.5000 0.5000 0.0000
In 0.5000 0.5000 0.5000



No. 3
The following is a GGA-PBEsol calculation of a geometry-optimized Al3TlIn structure, from Alexandria via LeMat-Bulk.

Results
* energy: -2.816 eV/atom
* symmetry: Pm-3m

a = 5.1935 Å, b = 5.1935 Å, c = 5.1935 Å
α = 90.00°, β = 90.00°, γ = 90.00°
Fractional positions:
Tl 0.5000 0.5000 0.5000
Al 0.0000 0.5000 0.0000
Al 0.0000 0.0000 0.5000
Al 0.5000 0.0000 0.0000
In 0.0000 0.0000 0.0000



No. 4
The following is a GGA-PBEsol calculation of a geometry-optimized AlInW3 structure, from Alexandria via LeMat-Bulk.

Results
* energy: -6.790 eV/atom
* symmetry: Pm-3m

a = 4.7978 Å, b = 4.7978 Å, c = 4.7978 Å
α = 90.00°, β = 90.00°, γ = 90.00°
Fractional positions:
Al 0.5000 0.5000 0.5000
W 0.0000 0.5000 0.0000
W 0.0000 0.0000 0.5000
W 0.5000 0.0000 0.0000
In 0.0000 0.0000 0.0000



No. 5
The following is a GGA-PBEsol calculation of a geometry-optimized AlInW2 structure, from Alexandria via LeMat-Bulk.

Results
* energy: -8.302 eV/atom
* offset from the most stable computed form: 0.0 meV per atom
* symmetry: P2/m

a = 2.7864 Å, b = 4.4398 Å, c = 5.4482 Å
α = 90.00°, β = 101.49°, γ = 90.00°
Fractional positions:
Al 0.5000 0.5000 0.0000
W 0.7604 0.0000 0.7671
W 0.2396 0.0000 0.2329
In 0.0000 0.5000 0.5000



No. 6
The following is a GGA-PBEsol calculation of a geometry-optimized Al2InW structure, from Alexandria via LeMat-Bulk.

Results
* energy: -5.973 eV/atom
* symmetry: Cmmm

a = 2.8643 Å, b = 4.9716 Å, c = 4.9716 Å
α = 109.76°, β = 90.00°, γ = 90.00°
Fractional positions:
Al 0.0000 0.5000 0.0000
Al 0.0000 0.0000 0.5000
W 0.5000 0.5000 0.5000
In 0.5000 0.0000 0.0000



No. 7
The following is a GGA-PBEsol calculation of a geometry-optimized AlInW2 structure, from Alexandria via LeMat-Bulk.

Results
* energy: -8.290 eV/atom
* offset from the most stable computed form: 11.3 meV per atom
* symmetry: F-43m

a = 4.5156 Å, b = 4.5156 Å, c = 4.5156 Å
α = 60.00°, β = 60.00°, γ = 60.00°
Fractional positions:
Al 0.5000 0.5000 0.5000
W 0.0000 0.0000 0.0000
W 0.7500 0.7500 0.7500
In 0.2500 0.2500 0.2500



No. 8
The following is a GGA-PBEsol calculation of a geometry-optimized AlInW structure, from Alexandria via LeMat-Bulk.

Results
* energy: -6.006 eV/atom
* offset from the most stable computed form: 629.8 meV per atom
* symmetry: F-43m

a = 4.3512 Å, b = 4.3512 Å, c = 4.3512 Å
α = 60.00°, β = 60.00°, γ = 60.00°
Last column: magnetic moment on the atom in μB.
Fractional positions:
Al 0.2500 0.2500 0.2500  0.01
W 0.5000 0.5000 0.5000  1.18
In 0.0000 0.0000 0.0000  -0.01